1.
## TlRuN2 (GGA-PBE)

Data for TlRuN2 after structural relaxation.

Unit cell a=5.8564 b=5.8564 c=5.8015 alpha=59.69 beta=59.69 gamma=90.00
With the nearest neighbours (Å) after each atom.
Fractional positions:
1 Ru 0.5000 0.5000 0.0000  4 N 1.88
2 Ru 0.2500 0.7500 0.5000  4 N 1.88
3 N 0.3750 0.5241 0.7500  2 Ru 1.88
4 N 0.4759 0.1250 0.2500  2 Ru 1.88
5 N 0.2741 0.6250 0.2500  2 Ru 1.88
6 N 0.8750 0.7259 0.7500  2 Ru 1.88
7 Tl 0.7500 0.2500 0.5000  4 N 2.94
8 Tl 0.0000 0.0000 0.0000  4 N 2.94

Summary:
Mass density (Mg/m³): 7.9
DOS at the Fermi energy (states/eV per atom): 0.345
Final energy (eV for the cell shown): -52.611
Energy relative to the lowest polymorph listed for this composition (meV per atom): 0
Space-group type: No. 122

***

2.
## Tb6Bi3C (GGA-PBE)

Data for Tb6Bi3C after structural relaxation.

Unit cell a=7.2607 b=9.4310 c=9.4310 alpha=100.07 beta=90.00 gamma=90.00
With the nearest neighbours (Å) after each atom.
Fractional positions:
1 Tb 0.2202 0.7736 0.2264  1 C 2.29
2 Tb 0.1593 0.0483 0.9517  1 C 2.28
3 Tb 0.6593 0.9517 0.0483  1 C 2.28
4 Tb 0.1606 0.1037 0.5903  1 C 2.29
5 Tb 0.1606 0.4097 0.8963  1 C 2.29
6 Tb 0.1951 0.6957 0.6212  4 Bi 3.09-3.22
7 Tb 0.1951 0.3788 0.3043  4 Bi 3.09-3.22
8 Tb 0.7202 0.2264 0.7736  1 C 2.29
9 Tb 0.6606 0.8963 0.4097  1 C 2.29
10 Tb 0.6951 0.3043 0.3788  4 Bi 3.09-3.22
11 Tb 0.6606 0.5903 0.1037  1 C 2.29
12 Tb 0.6951 0.6212 0.6957  4 Bi 3.09-3.22
13 Bi 0.8904 0.6110 0.3890  7 Tb 3.12-3.36
14 Bi 0.3904 0.3890 0.6110  7 Tb 3.12-3.36
15 Bi 0.9879 0.7273 0.9272  7 Tb 3.09-3.29
16 Bi 0.9879 0.0728 0.2727  7 Tb 3.09-3.29
17 Bi 0.4879 0.2727 0.0728  7 Tb 3.09-3.29
18 Bi 0.4879 0.9272 0.7273  7 Tb 3.09-3.29
19 C 0.0282 0.1913 0.8087  4 Tb 2.28-2.29
20 C 0.5282 0.8087 0.1913  4 Tb 2.28-2.29

Summary:
Mass density (Mg/m³): 8.3
DOS at the Fermi energy (states/eV per atom): 0.919
DFT formation energy (meV/atom): -423
Final energy (eV for the cell shown): -105.759
Space-group type: No. 36

***

What did the first record say?
## TlRuN2 (GGA-PBE)

Data for TlRuN2 after structural relaxation.

Unit cell a=5.8564 b=5.8564 c=5.8015 alpha=59.69 beta=59.69 gamma=90.00
With the nearest neighbours (Å) after each atom.
Fractional positions:
1 Ru 0.5000 0.5000 0.0000  4 N 1.88
2 Ru 0.2500 0.7500 0.5000  4 N 1.88
3 N 0.3750 0.5241 0.7500  2 Ru 1.88
4 N 0.4759 0.1250 0.2500  2 Ru 1.88
5 N 0.2741 0.6250 0.2500  2 Ru 1.88
6 N 0.8750 0.7259 0.7500  2 Ru 1.88
7 Tl 0.7500 0.2500 0.5000  4 N 2.94
8 Tl 0.0000 0.0000 0.0000  4 N 2.94

Summary:
Mass density (Mg/m³): 7.9
DOS at the Fermi energy (states/eV per atom): 0.345
Final energy (eV for the cell shown): -52.611
Energy relative to the lowest polymorph listed for this composition (meV per atom): 0
Space-group type: No. 122